No. 1
A geometry-optimized BiBrO2F structure. Source: Alexandria, functional GGA-PBE.

Cell: 4.4070 4.4070 4.4744 Å, 90.00 90.00 90.00°
Closest atoms and distances in Å follow each position.
Space group P4/mmm (No. 123)
One atom of each set of equivalent atoms:
1 Bi 0.0000 0.0000 0.0000 (multiplicity 1)  4 O 2.20, 2 F 2.24
2 Br 0.5000 0.5000 0.5000 (multiplicity 1)  4 F 3.12, 8 O 3.14
3 O 0.0000 0.5000 0.0000 (multiplicity 2)  2 Bi 2.20
4 F 0.0000 0.0000 0.5000 (multiplicity 1)  2 Bi 2.24

Values from the calculation:
As for the formation energy without anion corrections: -2.448 eV per formula unit. The value obtained for the density of states at the Fermi level is 2.72 states/eV/f.u. As for the total energy: -3.958 eV/atom.

No. 2
A geometry-optimized BiBrOF2 structure. Source: Alexandria, functional GGA-PBE.

Cell: 5.1122 5.1122 3.6254 Å, 90.00 90.00 90.00°
Closest atoms and distances in Å follow each position.
Space group P4/mmm (No. 123)
One atom of each set of equivalent atoms:
1 Bi 0.0000 0.0000 0.0000 (multiplicity 1)  8 F 3.13
2 Br 0.5000 0.5000 0.5000 (multiplicity 1)  2 O 1.81
3 O 0.5000 0.5000 0.0000 (multiplicity 1)  2 Br 1.81
4 F 0.0000 0.5000 0.5000 (multiplicity 2)  2 Br 2.56

Values from the calculation:
As for the formation energy without anion corrections: -1.027 eV per formula unit. The value obtained for the density of states at the Fermi level is 3.09 states/eV/f.u. As for the total energy: -3.056 eV/atom.

No. 3
A geometry-optimized BiBrOF2 structure. Source: Alexandria, functional GGA-PBE.

Cell: 4.5201 4.5201 4.5947 Å, 90.00 90.00 90.00°
Closest atoms and distances in Å follow each position.
Space group P4/mmm (No. 123)
One atom of each set of equivalent atoms:
1 Bi 0.0000 0.0000 0.0000 (multiplicity 1)  4 F 2.26, 2 O 2.30
2 Br 0.5000 0.5000 0.5000 (multiplicity 1)  4 O 3.20, 8 F 3.22
3 O 0.0000 0.0000 0.5000 (multiplicity 1)  2 Bi 2.30
4 F 0.0000 0.5000 0.0000 (multiplicity 2)  2 Bi 2.26

Values from the calculation:
As for the formation energy without anion corrections: -5.305 eV per formula unit. The value obtained for the density of states at the Fermi level is 3.14 states/eV/f.u. As for the total energy: -3.912 eV/atom.

No. 4
A geometry-optimized BiBrO2F structure. Source: Alexandria, functional GGA-PBE.

Cell: 3.9287 3.9287 5.3541 Å, 90.00 90.00 90.00°
Closest atoms and distances in Å follow each position.
Space group P4/mmm (No. 123)
One atom of each set of equivalent atoms:
1 Bi 0.0000 0.0000 0.0000 (multiplicity 1)  4 F 2.78
2 Br 0.5000 0.5000 0.5000 (multiplicity 1)  4 O 1.96
3 O 0.0000 0.5000 0.5000 (multiplicity 2)  2 Br 1.96
4 F 0.5000 0.5000 0.0000 (multiplicity 1)  2 Br 2.68, 4 Bi 2.78

Values from the calculation:
As for the formation energy without anion corrections: 0.202 eV per formula unit. The value obtained for the density of states at the Fermi level is 2.73 states/eV/f.u. As for the total energy: -3.428 eV/atom.

No. 5
A geometry-optimized Bi2OsBrF structure. Source: Alexandria, functional GGA-PBE.

Cell: 5.2294 5.2294 5.2618 Å, 90.00 90.00 90.00°
Closest atoms and distances in Å follow each position.
Space group P4/mmm (No. 123)
One atom of each set of equivalent atoms:
1 Bi 0.0000 0.5000 0.0000 (multiplicity 2)  2 Os 2.61
2 Os 0.0000 0.0000 0.0000 (multiplicity 1)  4 Bi 2.61, 2 Br 2.63
3 Br 0.0000 0.0000 0.5000 (multiplicity 1)  2 Os 2.63
4 F 0.5000 0.5000 0.5000 (multiplicity 1)  4 Br 3.70, 8 Bi 3.71

Values from the calculation:
As for the formation energy without anion corrections: 1.412 eV per formula unit. The value obtained for the density of states at the Fermi level is 5.64 states/eV/f.u. As for the total energy: -4.225 eV/atom.

No. 6
A geometry-optimized ReBiBrF2 structure. Source: Alexandria, functional GGA-PBE.

Cell: 4.2557 4.2557 5.4914 Å, 90.00 90.00 90.00°
Closest atoms and distances in Å follow each position.
Space group P4/mmm (No. 123)
One atom of each set of equivalent atoms:
1 Re 0.0000 0.0000 0.0000 (multiplicity 1)  4 F 2.13
2 Bi 0.5000 0.5000 0.5000 (multiplicity 1)  4 Br 3.01
3 Br 0.0000 0.0000 0.5000 (multiplicity 1)  2 Re 2.75, 4 Bi 3.01
4 F 0.0000 0.5000 0.0000 (multiplicity 2)  2 Re 2.13

Values from the calculation:
As for the formation energy without anion corrections: -0.757 eV per formula unit. The value obtained for the density of states at the Fermi level is 4.19 states/eV/f.u. As for the total energy: -4.500 eV/atom.

No. 7
A geometry-optimized BiRu2BrF structure. Source: Alexandria, functional GGA-PBE.

Cell: 4.6038 4.6038 4.6255 Å, 90.00 90.00 90.00°
Closest atoms and distances in Å follow each position.
Space group P4/mmm (No. 123)
One atom of each set of equivalent atoms:
1 Bi 0.0000 0.0000 0.0000 (multiplicity 1)  4 F 3.26, 8 Ru 3.26
2 Ru 0.0000 0.5000 0.5000 (multiplicity 2)  2 Br 2.30
3 Br 0.5000 0.5000 0.5000 (multiplicity 1)  4 Ru 2.30, 2 F 2.31
4 F 0.5000 0.5000 0.0000 (multiplicity 1)  2 Br 2.31

Values from the calculation:
As for the formation energy without anion corrections: 3.444 eV per formula unit. The value obtained for the density of states at the Fermi level is 4.95 states/eV/f.u. As for the total energy: -4.507 eV/atom.

No. 8
A geometry-optimized BiRuBrF2 structure. Source: Alexandria, functional GGA-PBE.

Cell: 4.4230 4.4230 4.8037 Å, 90.00 90.00 90.00°
Closest atoms and distances in Å follow each position.
Space group P4/mmm (No. 123)
One atom of each set of equivalent atoms:
1 Bi 0.0000 0.0000 0.0000 (multiplicity 1)  4 Ru 3.13, 8 F 3.26
2 Ru 0.5000 0.5000 0.0000 (multiplicity 1)  2 Br 2.40
3 Br 0.5000 0.5000 0.5000 (multiplicity 1)  4 F 2.21, 2 Ru 2.40
4 F 0.0000 0.5000 0.5000 (multiplicity 2)  2 Br 2.21

Values from the calculation:
As for the formation energy without anion corrections: 0.367 eV per formula unit. The value obtained for the density of states at the Fermi level is 4.57 states/eV/f.u. As for the total energy: -3.641 eV/atom.

No. 9
A geometry-optimized BiSb2BrF structure. Source: Alexandria, functional GGA-PBE.

Cell: 5.5170 5.5170 5.6811 Å, 90.00 90.00 90.00°
Closest atoms and distances in Å follow each position.
Space group P4/mmm (No. 123)
One atom of each set of equivalent atoms:
1 Bi 0.0000 0.0000 0.0000 (multiplicity 1)  2 Br 2.84
2 Sb 0.0000 0.5000 0.5000 (multiplicity 2)  2 Br 2.76
3 Br 0.0000 0.0000 0.5000 (multiplicity 1)  4 Sb 2.76, 2 Bi 2.84
4 F 0.5000 0.5000 0.0000 (multiplicity 1)  4 Bi 3.90, 8 Sb 3.96

Values from the calculation:
As for the formation energy without anion corrections: 3.474 eV per formula unit. The value obtained for the density of states at the Fermi level is 4.46 states/eV/f.u. As for the total energy: -2.439 eV/atom.

No. 10
A geometry-optimized ScBi2BrF structure. Source: Alexandria, functional GGA-PBE.

Cell: 5.7397 5.7397 4.9326 Å, 90.00 90.00 90.00°
Closest atoms and distances in Å follow each position.
Space group P4/mmm (No. 123)
One atom of each set of equivalent atoms:
1 Sc 0.0000 0.0000 0.0000 (multiplicity 1)  2 Br 2.47
2 Bi 0.0000 0.5000 0.5000 (multiplicity 2)  2 Br 2.87
3 Br 0.0000 0.0000 0.5000 (multiplicity 1)  2 Sc 2.47
4 F 0.5000 0.5000 0.0000 (multiplicity 1)  8 Bi 3.78, 4 Sc 4.06

Values from the calculation:
As for the formation energy without anion corrections: 0.873 eV per formula unit. The value obtained for the density of states at the Fermi level is 3.32 states/eV/f.u. As for the total energy: -3.353 eV/atom.

No. 11
A geometry-optimized TlBiBr2F structure. Source: Alexandria, functional GGA-PBE.

Cell: 6.0869 6.0869 4.5744 Å, 90.00 90.00 90.00°
Closest atoms and distances in Å follow each position.
Space group P4/mmm (No. 123)
One atom of each set of equivalent atoms:
1 Tl 0.0000 0.0000 0.0000 (multiplicity 1)  8 Br 3.81
2 Bi 0.5000 0.5000 0.5000 (multiplicity 1)  2 F 2.29
3 Br 0.0000 0.5000 0.5000 (multiplicity 2)  2 Bi 3.04
4 F 0.5000 0.5000 0.0000 (multiplicity 1)  2 Bi 2.29

Values from the calculation:
As for the formation energy without anion corrections: -4.962 eV per formula unit. The value obtained for the density of states at the Fermi level is 3.31 states/eV/f.u. As for the total energy: -3.285 eV/atom.